Record 1
## Sc2WAu (GGA-PBEsol)

Data for crystalline Sc2WAu at its relaxed geometry.

Summary:
Energy above the most stable polymorph in this dataset (eV/atom): 0.199
Energy of formation from the pure elements (meV per atom): 293
Crystal system: trigonal
Theoretical density (g cm⁻³): 10.17

a = 10.159 Å, b = 10.159 Å, c = 10.159 Å
α = 16.85°, β = 16.85°, γ = 16.85°
Atoms (fractional coordinates):
Sc1 0.091 0.091 0.091
Sc2 0.909 0.909 0.909
W1 0.500 0.500 0.500
Au1 0.000 0.000 0.000



Record 2
## TaRuRh3 (GGA-PBEsol)

Data for crystalline TaRuRh3 at its relaxed geometry.

Summary:
Energy of formation from the pure elements (meV per atom): 1602
Crystal system: cubic
Theoretical density (g cm⁻³): 10.67

a = 4.514 Å, b = 4.514 Å, c = 4.514 Å
α = 90.00°, β = 90.00°, γ = 90.00°
Atoms (fractional coordinates):
Ta1 0.000 0.000 0.000
Ru1 0.500 0.500 0.500
Rh1 0.000 0.500 0.500
Rh2 0.500 0.000 0.500
Rh3 0.500 0.500 0.000



Number 1: total moment 0.00 μB/f.u.. Number 2: total moment 0.01 μB/f.u..